DFT (PBE) results for a geometry-optimized YAgPbSe3 structure.

Lattice parameters (Å, degrees): 9.288 9.288 8.665 102.67 102.67 25.50
Atoms (fractional coordinates):
1 Se 0.684 0.684 0.329
2 Se 0.500 0.500 0.500
3 Pb 0.868 0.868 0.426
4 Y 0.164 0.164 0.089
5 Se 0.672 0.672 0.858
6 Ag 0.530 0.530 0.213
7 Ag 0.470 0.470 0.787
8 Y 0.836 0.836 0.911
9 Se 0.328 0.328 0.142
10 Se 0.316 0.316 0.671
11 Pb 0.132 0.132 0.574
12 Se 0.000 0.000 0.000

## Properties
offset from the most stable computed form: 0.10 kcal/mol of atoms
spin magnetization: 0.000 μB/atom
total energy: -4.885 eV per atom